Record 1
## PrGdAs2 (PBE)

Data for a relaxed structure of PrGdAs2.

POSCAR file:
```
PrGdAs2
1.0
-0.771 -3.025 2.872
1.048 -4.027 -0.827
6.334 -1.298 3.465
Pr As Gd
1 2 1
direct
0.000 0.000 0.000
0.247 0.247 0.259
0.753 0.753 0.741
0.500 0.500 0.500
```

space group	R-3m, No. 166
total moment	1.744	μB per atom
crystal system	trigonal
mass density	6.90	g/cm3
volume	107.8	Å³ per cell
ΔH_f (0 K)	-1.5136	eV/atom

***

Record 2
## HgSb2Au2 (PBE)

Data for a relaxed structure of HgSb2Au2.

POSCAR file:
```
HgSb2Au2
1.0
3.847 -2.138 1.499
-1.718 9.120 -1.305
0.732 -2.899 9.752
Hg Sb Au
2 4 4
direct
0.726 0.937 0.639
0.274 0.063 0.361
0.125 0.596 0.274
0.188 0.770 0.914
0.875 0.404 0.726
0.812 0.230 0.086
0.401 0.550 0.422
0.385 0.155 0.927
0.599 0.450 0.578
0.615 0.845 0.073
```

ΔE_f (raw)	0.0159	eV per atom
space group	P-1, No. 2
ΔE to the lowest computed polymorph	0.038	eV/atom
total moment	0.000	μB per atom
crystal system	triclinic
mass density	9.56	g/cm3
volume	291.2	Å³ per cell